No. 1
The following is a PBE calculation of CuAu2 after structural relaxation, from Alexandria.

Computed properties:
Total magnetization ... 0.00 μB per atom
Symmetry ... C2/m, No. 12
Energy above the most stable polymorph in this dataset ... 17.3 meV per atom
Calculated formation energy ... -0.026 eV/atom
Crystal system ... monoclinic
E_tot ... -3.5763 eV per atom

Cell: 2.8800 5.0048 7.6666 Å, 67.25 90.00 106.72°
With the nearest neighbours (Å) after each atom.
Sites, in units of the cell vectors:
Au  0.0280  0.0561  0.4073  5 Cu 2.69-2.77, 5 Au 2.88-2.96
Cu  0.7127  0.4254  0.1067  4 Cu 2.61-2.88, 7 Au 2.69-2.77
Au  0.6928  0.3856  0.6039  2 Cu 2.71, 8 Au 2.88-2.96
Cu  0.3428  0.6857  0.2822  4 Cu 2.61-2.88, 7 Au 2.69-2.77
Au  0.0275  0.0550  0.9815  5 Cu 2.69-2.77, 5 Au 2.88-2.96
Au  0.3628  0.7255  0.7850  2 Cu 2.71, 8 Au 2.88-2.96

No. 2
The following is a PBE calculation of CuAu4 after structural relaxation, from Alexandria.

Computed properties:
Total magnetization ... 0.00 μB per atom
Symmetry ... Pm-3m, No. 221
Energy above the most stable polymorph in this dataset ... 670.0 meV per atom
Calculated formation energy ... 0.646 eV/atom
Crystal system ... cubic
E_tot ... -2.7950 eV per atom

Cell: 4.7477 4.7477 4.7477 Å, 90.00 90.00 90.00°
With the nearest neighbours (Å) after each atom.
Sites, in units of the cell vectors:
Au  0.5000  0.5000  0.0000  2 Cu 2.37
Au  0.5000  0.0000  0.5000  2 Cu 2.37
Cu  0.5000  0.5000  0.5000  6 Au 2.37
Au  0.0000  0.0000  0.0000  12 Au 3.36
Au  0.0000  0.5000  0.5000  2 Cu 2.37

No. 3
The following is a PBE calculation of Cu3Au4 after structural relaxation, from Alexandria.

Computed properties:
Total magnetization ... 0.00 μB per atom
Symmetry ... P6/mmm, No. 191
Energy above the most stable polymorph in this dataset ... 77.5 meV per atom
Calculated formation energy ... 0.055 eV/atom
Crystal system ... hexagonal
E_tot ... -3.5738 eV per atom

Cell: 4.9323 4.9323 5.2459 Å, 90.00 90.00 120.00°
With the nearest neighbours (Å) after each atom.
Sites, in units of the cell vectors:
Au  0.0000  0.0000  0.7496  2 Au 2.62-2.63, 6 Cu 2.79
Cu  0.5000  0.0000  0.0000  4 Cu 2.47
Au  0.6667  0.3333  0.5000  9 Au 2.85-3.13, 6 Cu 2.98
Au  0.0000  0.0000  0.2504  2 Au 2.62-2.63, 6 Cu 2.79
Cu  0.0000  0.5000  0.0000  4 Cu 2.47
Au  0.3333  0.6667  0.5000  9 Au 2.85-3.13, 6 Cu 2.98
Cu  0.5000  0.5000  0.0000  4 Cu 2.47

No. 4
The following is a PBE calculation of CuAu3 after structural relaxation, from Alexandria.

Computed properties:
Total magnetization ... 0.00 μB per atom
Symmetry ... Pm-3n, No. 223
Calculated formation energy ... 0.129 eV/atom
Crystal system ... cubic
E_tot ... -3.3532 eV per atom

Cell: 5.1867 5.1867 5.1867 Å, 90.00 90.00 90.00°
With the nearest neighbours (Å) after each atom.
Sites, in units of the cell vectors:
Au  0.0000  0.2500  0.5000  2 Au 2.59, 4 Cu 2.90
Au  0.5000  0.0000  0.2500  2 Au 2.59, 4 Cu 2.90
Au  0.5000  0.0000  0.7500  2 Au 2.59, 4 Cu 2.90
Cu  0.5000  0.5000  0.5000  12 Au 2.90
Cu  0.0000  0.0000  0.0000  12 Au 2.90
Au  0.2500  0.5000  0.0000  2 Au 2.59, 4 Cu 2.90
Au  0.0000  0.7500  0.5000  2 Au 2.59, 4 Cu 2.90
Au  0.7500  0.5000  0.0000  2 Au 2.59, 4 Cu 2.90